DFT (PBE) results for a relaxed structure of GdPRh3.

Lattice parameters (Å, degrees): 4.464 4.464 4.464 90.00 90.00 90.00
Positions (direct):
Gd (0.000, 0.000, 0.000)
P (0.500, 0.500, 0.500)
Rh (0.000, 0.500, 0.500)
Rh (0.500, 0.000, 0.500)
Rh (0.500, 0.500, 0.000)

The density of states at the Fermi level is 1.149 states/eV per atom. As for the formation enthalpy at 0 K: -16.00 kcal/mol of atoms. As for the total magnetic moment: 6.81 μB per formula unit. The volume comes out at 17.8 A^3/atom.

---

DFT (PBE) results for a relaxed structure of Rb3PmNp3Te8.

Lattice parameters (Å, degrees): 9.091 9.091 10.105 116.58 116.58 60.03
Positions (direct):
Rb (0.000, 0.000, 0.000)
Rb (0.000, 0.500, 0.000)
Rb (0.500, 0.000, 0.000)
Pm (0.000, 0.000, 0.500)
Np (0.000, 0.500, 0.500)
Np (0.500, 0.000, 0.500)
Np (0.500, 0.500, 0.500)
Te (0.236, 0.236, 0.699)
Te (0.237, 0.727, 0.700)
Te (0.267, 0.267, 0.300)
Te (0.273, 0.763, 0.300)
Te (0.727, 0.237, 0.700)
Te (0.733, 0.733, 0.700)
Te (0.763, 0.273, 0.300)
Te (0.764, 0.764, 0.301)

The density of states at the Fermi level is 1.411 states/eV per atom. As for the total magnetic moment: 3.73 μB per formula unit. The volume comes out at 41.3 A^3/atom. The value obtained for the formation energy without anion corrections is -0.958 eV/atom.

---

DFT (PBE) results for a relaxed structure of LaY2Ho8.

Lattice parameters (Å, degrees): 9.774 9.774 5.939 107.64 107.64 123.32
Positions (direct):
La (0.000, 0.000, 0.000)
Y (0.312, 0.688, 0.500)
Y (0.688, 0.312, 0.500)
Ho (0.099, 0.363, 0.730)
Ho (0.201, 0.799, 0.000)
Ho (0.363, 0.099, 0.730)
Ho (0.497, 0.497, 0.255)
Ho (0.503, 0.503, 0.745)
Ho (0.637, 0.901, 0.270)
Ho (0.799, 0.201, 0.000)
Ho (0.901, 0.637, 0.270)

The density of states at the Fermi level is 1.520 states/eV per atom. As for the formation enthalpy at 0 K: 3.49 kcal/mol of atoms. As for the total magnetic moment: 0.00 μB per formula unit. The volume comes out at 33.2 A^3/atom. The energy above the lowest structure with this stoichiometry comes out at 26 meV/atom.

---

DFT (PBE) results for a relaxed structure of Ho3Ir.

Lattice parameters (Å, degrees): 3.374 3.652 9.155 90.00 90.00 90.00
Positions (direct):
Ho (0.000, 0.000, 0.000)
Ho (0.000, 0.500, 0.342)
Ho (0.500, 0.500, 0.716)
Ir (0.500, 0.000, 0.490)

The density of states at the Fermi level is 1.271 states/eV per atom. As for the formation enthalpy at 0 K: -4.42 kcal/mol of atoms. As for the total magnetic moment: 0.00 μB per formula unit. The volume comes out at 28.2 A^3/atom.

---

DFT (PBE) results for a relaxed structure of TiRuCl3.

Lattice parameters (Å, degrees): 4.810 4.810 4.810 90.00 90.00 90.00
Positions (direct):
Ti (0.000, 0.000, 0.000)
Ru (0.500, 0.500, 0.500)
Cl (0.000, 0.000, 0.500)
Cl (0.000, 0.500, 0.000)
Cl (0.500, 0.000, 0.000)

The density of states at the Fermi level is 1.279 states/eV per atom. As for the total magnetic moment: 2.90 μB per formula unit. The volume comes out at 22.3 A^3/atom. The energy above the lowest structure with this stoichiometry comes out at 0 meV/atom. The value obtained for the formation energy without anion corrections is 0.016 eV/atom.

---

DFT (PBE) results for a relaxed structure of La2NdDy.

Lattice parameters (Å, degrees): 5.863 5.863 5.863 60.00 60.00 60.00
Positions (direct):
La (0.250, 0.250, 0.250)
La (0.750, 0.750, 0.750)
Nd (0.000, 0.000, 0.000)
Dy (0.500, 0.500, 0.500)

The density of states at the Fermi level is 2.281 states/eV per atom. As for the formation enthalpy at 0 K: 2.50 kcal/mol of atoms. As for the total magnetic moment: 0.00 μB per formula unit. The volume comes out at 35.6 A^3/atom. The energy above the lowest structure with this stoichiometry comes out at 97 meV/atom.

---

DFT (PBE) results for a relaxed structure of HgAuBr5.

Lattice parameters (Å, degrees): 8.248 8.405 9.183 115.01 111.29 96.97
Positions (direct):
Hg (0.000, 0.000, 0.000)
Hg (0.000, 0.000, 0.500)
Au (0.359, 0.699, 0.261)
Au (0.641, 0.301, 0.739)
Br (0.068, 0.669, 0.286)
Br (0.085, 0.861, 0.743)
Br (0.343, 0.390, 0.231)
Br (0.354, 0.288, 0.770)
Br (0.371, 0.999, 0.268)
Br (0.629, 0.001, 0.732)
Br (0.646, 0.712, 0.230)
Br (0.657, 0.610, 0.769)
Br (0.915, 0.139, 0.257)
Br (0.932, 0.331, 0.714)

As for the total magnetic moment: 0.00 μB per formula unit. The volume comes out at 36.3 A^3/atom. The value obtained for the formation energy without anion corrections is -0.218 eV/atom.

---

DFT (PBE) results for a relaxed structure of Li2Au3.

Lattice parameters (Å, degrees): 10.979 10.979 10.979 15.51 15.51 15.51
Positions (direct):
Li (0.102, 0.102, 0.102)
Li (0.898, 0.898, 0.898)
Au (0.295, 0.295, 0.295)
Au (0.500, 0.500, 0.500)
Au (0.705, 0.705, 0.705)

The density of states at the Fermi level is 0.395 states/eV per atom. As for the formation enthalpy at 0 K: -7.40 kcal/mol of atoms. As for the total magnetic moment: 0.00 μB per formula unit. The volume comes out at 16.5 A^3/atom. The energy above the lowest structure with this stoichiometry comes out at 140 meV/atom.

---

DFT (PBE) results for a relaxed structure of PrSm2Ag2Pb2.

Lattice parameters (Å, degrees): 9.383 9.383 9.383 30.86 30.86 30.86
Positions (direct):
Pr (0.000, 0.000, 0.000)
Sm (0.136, 0.136, 0.136)
Sm (0.864, 0.864, 0.864)
Ag (0.441, 0.441, 0.441)
Ag (0.559, 0.559, 0.559)
Pb (0.266, 0.266, 0.266)
Pb (0.734, 0.734, 0.734)

The density of states at the Fermi level is 0.425 states/eV per atom. As for the formation enthalpy at 0 K: -7.22 kcal/mol of atoms. As for the total magnetic moment: 0.00 μB per formula unit. The volume comes out at 27.5 A^3/atom.

---

DFT (PBE) results for a relaxed structure of Rb2PIBr6.

Lattice parameters (Å, degrees): 8.185 8.185 8.185 122.16 122.16 86.30
Positions (direct):
Rb (0.250, 0.750, 0.500)
Rb (0.750, 0.250, 0.500)
P (0.000, 0.000, 0.000)
I (0.500, 0.500, 0.000)
Br (0.210, 0.210, 0.000)
Br (0.221, 0.221, 0.443)
Br (0.221, 0.779, 0.000)
Br (0.779, 0.221, 0.000)
Br (0.779, 0.779, 0.557)
Br (0.790, 0.790, 0.000)

The density of states at the Fermi level is 0.067 states/eV per atom. As for the total magnetic moment: 0.00 μB per formula unit. The volume comes out at 37.4 A^3/atom. The value obtained for the formation energy without anion corrections is -0.766 eV/atom.

---

DFT (PBE) results for a relaxed structure of ScZn3Cd.

Lattice parameters (Å, degrees): 5.285 5.285 5.285 90.00 90.00 90.00
Positions (direct):
Sc (0.000, 0.000, 0.000)
Zn (0.000, 0.000, 0.500)
Zn (0.000, 0.500, 0.000)
Zn (0.500, 0.000, 0.000)
Cd (0.500, 0.500, 0.500)

The density of states at the Fermi level is 1.331 states/eV per atom. As for the formation enthalpy at 0 K: 16.82 kcal/mol of atoms. As for the total magnetic moment: 0.92 μB per formula unit. The volume comes out at 29.5 A^3/atom. The energy above the lowest structure with this stoichiometry comes out at 253 meV/atom.

---

DFT (PBE) results for a relaxed structure of Dy2HfTl3Se6.

Lattice parameters (Å, degrees): 6.972 6.972 8.551 98.14 98.14 120.10
Positions (direct):
Dy (0.166, 0.834, 0.000)
Dy (0.834, 0.166, 0.000)
Hf (0.500, 0.500, 0.000)
Tl (0.000, 0.000, 0.500)
Tl (0.330, 0.670, 0.500)
Tl (0.670, 0.330, 0.500)
Se (0.118, 0.433, 0.807)
Se (0.252, 0.252, 0.195)
Se (0.433, 0.118, 0.807)
Se (0.567, 0.882, 0.193)
Se (0.748, 0.748, 0.805)
Se (0.882, 0.567, 0.193)

The density of states at the Fermi level is 0.481 states/eV per atom. As for the total magnetic moment: 0.00 μB per formula unit. The volume comes out at 28.7 A^3/atom. The value obtained for the formation energy without anion corrections is -1.208 eV/atom.

---

DFT (PBE) results for a relaxed structure of EuLuCuPt.

Lattice parameters (Å, degrees): 4.951 4.951 4.951 60.00 60.00 60.00
Positions (direct):
Eu (0.000, 0.000, 0.000)
Lu (0.500, 0.500, 0.500)
Cu (0.250, 0.250, 0.250)
Pt (0.750, 0.750, 0.750)

The density of states at the Fermi level is 1.641 states/eV per atom. As for the formation enthalpy at 0 K: -14.29 kcal/mol of atoms. As for the total magnetic moment: 6.97 μB per formula unit. The volume comes out at 21.4 A^3/atom.

---

DFT (PBE) results for a relaxed structure of BaSrPO4.

Lattice parameters (Å, degrees): 6.297 6.297 6.297 60.00 60.00 60.00
Positions (direct):
Ba (0.000, 0.000, 0.000)
Sr (0.750, 0.750, 0.750)
P (0.500, 0.500, 0.500)
O (0.197, 0.601, 0.601)
O (0.601, 0.197, 0.601)
O (0.601, 0.601, 0.197)
O (0.601, 0.601, 0.601)

The density of states at the Fermi level is 0.402 states/eV per atom. As for the total magnetic moment: 0.65 μB per formula unit. The volume comes out at 25.2 A^3/atom. The value obtained for the formation energy without anion corrections is -2.215 eV/atom.

---

DFT (PBE) results for a relaxed structure of TmCuSi.

Lattice parameters (Å, degrees): 7.570 7.570 4.442 90.00 90.00 151.16
Positions (direct):
Tm (0.168, 0.832, 0.750)
Tm (0.832, 0.168, 0.250)
Cu (0.040, 0.960, 0.250)
Cu (0.960, 0.040, 0.750)
Si (0.365, 0.635, 0.750)
Si (0.635, 0.365, 0.250)

The density of states at the Fermi level is 0.373 states/eV per atom. As for the total magnetic moment: 0.00 μB per formula unit. The volume comes out at 20.5 A^3/atom. The value obtained for the formation energy without anion corrections is -0.221 eV/atom.

---

DFT (PBE) results for a relaxed structure of Hf6Pt3N.

Lattice parameters (Å, degrees): 5.798 7.243 10.274 90.00 119.95 90.00
Positions (direct):
Hf (0.071, 0.058, 0.235)
Hf (0.071, 0.442, 0.735)
Hf (0.207, 0.726, 0.070)
Hf (0.207, 0.774, 0.570)
Hf (0.375, 0.147, 0.047)
Hf (0.375, 0.353, 0.547)
Hf (0.625, 0.647, 0.453)
Hf (0.625, 0.853, 0.953)
Hf (0.793, 0.226, 0.430)
Hf (0.793, 0.274, 0.930)
Hf (0.929, 0.558, 0.265)
Hf (0.929, 0.942, 0.765)
Pt (0.314, 0.102, 0.723)
Pt (0.314, 0.398, 0.223)
Pt (0.500, 0.000, 0.500)
Pt (0.500, 0.500, 0.000)
Pt (0.686, 0.602, 0.777)
Pt (0.686, 0.898, 0.277)
N (0.000, 0.000, 0.000)
N (0.000, 0.500, 0.500)

The density of states at the Fermi level is 0.600 states/eV per atom. As for the total magnetic moment: 0.00 μB per formula unit. The volume comes out at 18.7 A^3/atom. The value obtained for the formation energy without anion corrections is -0.941 eV/atom.

---

DFT (PBE) results for a relaxed structure of Ba3Sm5Pb12.

Lattice parameters (Å, degrees): 16.424 16.424 16.424 109.47 109.47 109.47
Positions (direct):
Ba (0.125, 0.250, 0.375)
Ba (0.125, 0.375, 0.750)
Ba (0.250, 0.375, 0.125)
Ba (0.250, 0.875, 0.625)
Ba (0.375, 0.125, 0.250)
Ba (0.375, 0.750, 0.125)
Ba (0.625, 0.250, 0.875)
Ba (0.625, 0.875, 0.750)
Ba (0.750, 0.125, 0.375)
Ba (0.750, 0.625, 0.875)
Ba (0.875, 0.625, 0.250)
Ba (0.875, 0.750, 0.625)
Sm (0.000, 0.000, 0.000)
Sm (0.000, 0.000, 0.500)
Sm (0.000, 0.500, 0.000)
Sm (0.000, 0.500, 0.500)
Sm (0.125, 0.750, 0.875)
Sm (0.125, 0.875, 0.250)
Sm (0.250, 0.125, 0.875)
Sm (0.250, 0.625, 0.375)
Sm (0.375, 0.250, 0.625)
Sm (0.375, 0.625, 0.750)
Sm (0.500, 0.000, 0.000)
Sm (0.500, 0.000, 0.500)
Sm (0.500, 0.500, 0.000)
Sm (0.500, 0.500, 0.500)
Sm (0.625, 0.375, 0.250)
Sm (0.625, 0.750, 0.375)
Sm (0.750, 0.375, 0.625)
Sm (0.750, 0.875, 0.125)
Sm (0.875, 0.125, 0.750)
Sm (0.875, 0.250, 0.125)
Pb (0.064, 0.222, 0.140)
Pb (0.064, 0.342, 0.924)
Pb (0.076, 0.640, 0.418)
Pb (0.076, 0.936, 0.658)
Pb (0.082, 0.722, 0.658)
Pb (0.082, 0.860, 0.424)
Pb (0.140, 0.064, 0.222)
Pb (0.140, 0.576, 0.918)
Pb (0.158, 0.222, 0.582)
Pb (0.158, 0.436, 0.576)
Pb (0.222, 0.140, 0.064)
Pb (0.222, 0.582, 0.158)
Pb (0.278, 0.342, 0.918)
Pb (0.278, 0.436, 0.360)
Pb (0.342, 0.918, 0.278)
Pb (0.342, 0.924, 0.064)
Pb (0.360, 0.278, 0.436)
Pb (0.360, 0.582, 0.924)
Pb (0.418, 0.076, 0.640)
Pb (0.418, 0.842, 0.778)
Pb (0.424, 0.082, 0.860)
Pb (0.424, 0.842, 0.564)
Pb (0.436, 0.360, 0.278)
Pb (0.436, 0.576, 0.158)
Pb (0.564, 0.424, 0.842)
Pb (0.564, 0.640, 0.722)
Pb (0.576, 0.158, 0.436)
Pb (0.576, 0.918, 0.140)
Pb (0.582, 0.158, 0.222)
Pb (0.582, 0.924, 0.360)
Pb (0.640, 0.418, 0.076)
Pb (0.640, 0.722, 0.564)
Pb (0.658, 0.076, 0.936)
Pb (0.658, 0.082, 0.722)
Pb (0.722, 0.564, 0.640)
Pb (0.722, 0.658, 0.082)
Pb (0.778, 0.418, 0.842)
Pb (0.778, 0.860, 0.936)
Pb (0.842, 0.564, 0.424)
Pb (0.842, 0.778, 0.418)
Pb (0.860, 0.424, 0.082)
Pb (0.860, 0.936, 0.778)
Pb (0.918, 0.140, 0.576)
Pb (0.918, 0.278, 0.342)
Pb (0.924, 0.064, 0.342)
Pb (0.924, 0.360, 0.582)
Pb (0.936, 0.658, 0.076)
Pb (0.936, 0.778, 0.860)

The density of states at the Fermi level is 0.988 states/eV per atom. As for the formation enthalpy at 0 K: 3.10 kcal/mol of atoms. As for the total magnetic moment: 0.00 μB per formula unit. The volume comes out at 42.6 A^3/atom.

---

DFT (PBE) results for a relaxed structure of BaLi2RePt.

Lattice parameters (Å, degrees): 4.882 4.882 4.951 90.00 90.00 90.00
Positions (direct):
Ba (0.000, 0.000, 0.000)
Li (0.000, 0.500, 0.500)
Li (0.500, 0.000, 0.500)
Re (0.500, 0.500, 0.000)
Pt (0.500, 0.500, 0.500)

The density of states at the Fermi level is 0.653 states/eV per atom. As for the formation enthalpy at 0 K: 6.40 kcal/mol of atoms. As for the total magnetic moment: 1.34 μB per formula unit. The volume comes out at 23.6 A^3/atom.

---

DFT (PBE) results for a relaxed structure of Cu2AgHgH.

Lattice parameters (Å, degrees): 4.037 4.037 4.071 90.00 90.00 90.00
Positions (direct):
Cu (0.000, 0.500, 0.000)
Cu (0.500, 0.000, 0.000)
Ag (0.000, 0.000, 0.500)
Hg (0.500, 0.500, 0.500)
H (0.000, 0.000, 0.000)

The density of states at the Fermi level is 0.343 states/eV per atom. The uncorrected energy comes out at -2.705 eV per atom. As for the total magnetic moment: 0.00 μB per formula unit. The volume comes out at 13.3 A^3/atom.

---

DFT (PBE) results for a relaxed structure of KRb3Ag.

Lattice parameters (Å, degrees): 7.743 7.743 7.743 90.00 90.00 90.00
Positions (direct):
K (0.000, 0.000, 0.000)
Rb (0.000, 0.000, 0.500)
Rb (0.000, 0.500, 0.000)
Rb (0.500, 0.000, 0.000)
Ag (0.500, 0.500, 0.500)

The density of states at the Fermi level is 1.094 states/eV per atom. As for the formation enthalpy at 0 K: 10.66 kcal/mol of atoms. As for the total magnetic moment: 0.00 μB per formula unit. The volume comes out at 92.8 A^3/atom. The energy above the lowest structure with this stoichiometry comes out at 432 meV/atom.

---

DFT (PBE) results for a relaxed structure of ErThZrSc.

Lattice parameters (Å, degrees): 10.845 10.845 10.845 18.35 18.35 18.35
Positions (direct):
Er (0.000, 0.000, 0.000)
Th (0.836, 0.836, 0.836)
Zr (0.251, 0.251, 0.251)
Sc (0.419, 0.419, 0.419)

The density of states at the Fermi level is 1.339 states/eV per atom. As for the formation enthalpy at 0 K: 1.45 kcal/mol of atoms. As for the total magnetic moment: 0.00 μB per formula unit. The volume comes out at 27.6 A^3/atom. The energy above the lowest structure with this stoichiometry comes out at 0 meV/atom.